Entry 1:
The following is a PBE calculation of Na3PdPb2 after structural relaxation, from Alexandria via LeMat-Bulk.

a b c (Å): 6.1298 17.9012 5.8971
angles (deg): 90.00 90.00 90.00
Space group Ibam (No. 72)
Symmetry-distinct sites (fractional):
Na 0.0000 0.0000 0.2500 [4 per cell]
Na 0.1576 0.1912 0.0000 [8 per cell]
Pd 0.0000 0.5000 0.2500 [4 per cell]
Pb 0.1490 0.3759 0.0000 [8 per cell]

Properties
D(E_F)	0.542	states/eV per atom
magnetization	0.0	μB per formula unit
total energy	-2.921	eV per atom

Entry 2:
The following is a PBE calculation of Ba2CdIr after structural relaxation, from Alexandria via LeMat-Bulk.

a b c (Å): 4.7695 4.7695 25.0013
angles (deg): 90.00 90.00 120.00
Space group R3m (No. 160, hexagonal axes)
Symmetry-distinct sites (fractional):
Ba 0.0000 0.0000 0.0000 [3 per cell]
Ba 0.0000 0.0000 0.1633 [3 per cell]
Cd 0.0000 0.0000 0.4149 [3 per cell]
Ir 0.0000 0.0000 0.7486 [3 per cell]

Properties
D(E_F)	1.023	states/eV per atom
magnetization	0.0	μB per formula unit
total energy	-3.562	eV per atom

Entry 3:
The following is a PBE calculation of SmH18I3O9 after structural relaxation, from Alexandria via LeMat-Bulk.

a b c (Å): 8.0011 11.3777 9.2912
angles (deg): 90.00 90.00 90.00
Space group Pmmn (No. 59, origin choice 2)
Symmetry-distinct sites (fractional):
Sm 0.2500 0.2500 0.1712 [2 per cell]
H 0.0376 0.6452 0.0050 [8 per cell]
H 0.0381 0.6809 0.6249 [8 per cell]
H 0.0399 0.5750 0.8592 [8 per cell]
H 0.2500 0.0480 0.4075 [4 per cell]
H 0.2500 0.1806 0.8360 [4 per cell]
H 0.2500 0.5214 0.2608 [4 per cell]
I 0.2500 0.5050 0.6704 [4 per cell]
I 0.2500 0.7500 0.1773 [2 per cell]
O 0.0351 0.1171 0.0737 [8 per cell]
O 0.0356 0.2500 0.3657 [4 per cell]
O 0.2500 0.0583 0.3018 [4 per cell]
O 0.2500 0.2500 0.8996 [2 per cell]

Properties
D(E_F)	0.000	states/eV per atom
magnetization	0.0	μB per formula unit
total energy	-4.819	eV per atom

no.,theoretical density (Mg/m³),V (Å³/atom)
1,6.054,26.96
2,5.859,41.05
3,2.722,13.64